Here is a geometry-optimized NaTmVF6 structure from Alexandria. Energies are from PBE+U.

Structure (POSCAR):
```
NaTmVF6
1.0
5.0915 0.0000 0.0000
0.0000 5.0915 0.0000
0.0000 0.0000 10.1953
Na Tm V F
2 2 2 12
direct
0.0000 0.0000 0.0000
0.5000 0.5000 0.5000
0.0000 0.0000 0.3333
0.5000 0.5000 0.8333
0.0000 0.0000 0.6682
0.5000 0.5000 0.1682
0.1836 0.1836 0.5017
0.2010 0.2010 0.8222
0.2049 0.2049 0.1798
0.2951 0.7049 0.6798
0.2990 0.7010 0.3222
0.3164 0.6836 0.0017
0.6836 0.3164 0.0017
0.7010 0.2990 0.3222
0.7049 0.2951 0.6798
0.7951 0.7951 0.1798
0.7990 0.7990 0.8222
0.8164 0.8164 0.5017
```

Output
Space group ... P4_2nm, No. 102
Energy ... -109.44 eV/cell
Size of the total moment ... 6.0 Bohr magnetons per cell